VASP calculation (PBE-GGA) on an optimized crystal structure of BaAgN2.

Cell lengths 6.565, 6.565, 6.565 Å; angles 38.93, 38.93, 38.93 degrees
Fractional coordinates of all 4 atoms:
Ba  0.500  0.500  0.500
Ag  0.000  0.000  0.000
N  0.895  0.895  0.895
N  0.105  0.105  0.105

Results
Symmetry: No. 166
Relative energy among the computed polymorphs (meV per atom): 32
Uncorrected formation energy (eV/atom): 0.8991
D(E_F) (states/eV/cell): 2.89
E_tot (eV per atom): -4.4571

VASP calculation (PBE-GGA) on an optimized crystal structure of CuNi2Ru.

Cell lengths 4.446, 4.446, 4.488 Å; angles 80.99, 80.99, 33.19 degrees
Fractional coordinates of all 4 atoms:
Cu  0.252  0.252  0.234
Ni  0.003  0.003  0.007
Ni  0.749  0.749  0.742
Ru  0.496  0.496  0.517

Results
Formation energy (eV/atom): 0.12
Symmetry: No. 8
Relative energy among the computed polymorphs (meV per atom): 38
D(E_F) (states/eV/cell): 5.44
E_tot (eV per atom): -6.1098

VASP calculation (PBE-GGA) on an optimized crystal structure of TiCoNi.

Cell lengths 7.277, 6.993, 6.993 Å; angles 51.38, 58.65, 58.65 degrees
Fractional coordinates of all 18 atoms:
Ni  0.271  0.922  0.422
Ni  0.615  0.078  0.578
Ni  0.738  0.521  0.021
Ni  0.280  0.479  0.979
Ni  0.835  0.282  0.782
Ni  0.898  0.718  0.218
Co  0.555  0.500  0.500
Co  0.555  0.000  0.000
Co  0.198  0.938  0.826
Co  0.963  0.062  0.174
Co  0.963  0.674  0.562
Co  0.198  0.326  0.438
Ti  0.327  0.696  0.196
Ti  0.218  0.304  0.804
Ti  0.569  0.702  0.664
Ti  0.936  0.298  0.336
Ti  0.936  0.836  0.798
Ti  0.569  0.164  0.202

Results
Formation energy (eV/atom): -0.16
Symmetry: No. 46
Relative energy among the computed polymorphs (meV per atom): 163
D(E_F) (states/eV/cell): 15.42
E_tot (eV per atom): -7.0904

VASP calculation (PBE-GGA) on an optimized crystal structure of BeTcB2Pd.

Cell lengths 3.867, 5.289, 3.867 Å; angles 90.00, 90.00, 90.00 degrees
Fractional coordinates of all 5 atoms:
Be  0.500  0.500  0.500
B  0.000  0.000  0.500
B  0.500  0.000  0.000
Tc  0.000  0.500  0.000
Pd  0.000  0.000  0.000

Results
Formation energy (eV/atom): 1.59
Symmetry: No. 123
D(E_F) (states/eV/cell): 2.87
E_tot (eV per atom): -4.9356

VASP calculation (PBE-GGA) on an optimized crystal structure of LaHoThCd.

Cell lengths 5.575, 5.575, 5.575 Å; angles 60.00, 60.00, 60.00 degrees
Fractional coordinates of all 4 atoms:
Cd  0.000  0.000  0.000
Ho  0.500  0.500  0.500
Th  0.750  0.750  0.750
La  0.250  0.250  0.250

Results
Formation energy (eV/atom): 0.03
Symmetry: No. 216
Relative energy among the computed polymorphs (meV per atom): 199
D(E_F) (states/eV/cell): 6.58
E_tot (eV per atom): -4.4303

VASP calculation (PBE-GGA) on an optimized crystal structure of Y2ReRu.

Cell lengths 5.435, 5.435, 5.435 Å; angles 142.58, 123.62, 69.64 degrees
Fractional coordinates of all 4 atoms:
Re  0.750  0.250  0.500
Ru  0.250  0.750  0.500
Y  0.007  0.007  0.000
Y  0.493  0.493  0.000

Results
Formation energy (eV/atom): 0.34
Symmetry: No. 71
Relative energy among the computed polymorphs (meV per atom): 380
D(E_F) (states/eV/cell): 3.64
E_tot (eV per atom): -8.3232

VASP calculation (PBE-GGA) on an optimized crystal structure of LaY2Co.

Cell lengths 6.480, 7.000, 9.605 Å; angles 90.00, 90.00, 90.00 degrees
Fractional coordinates of all 16 atoms:
La  0.636  0.561  0.250
La  0.864  0.061  0.250
La  0.364  0.439  0.750
La  0.136  0.939  0.750
Y  0.174  0.666  0.069
Y  0.326  0.166  0.431
Y  0.826  0.334  0.569
Y  0.674  0.834  0.931
Y  0.826  0.334  0.931
Y  0.674  0.834  0.569
Y  0.174  0.666  0.431
Y  0.326  0.166  0.069
Co  0.045  0.375  0.250
Co  0.455  0.875  0.250
Co  0.955  0.625  0.750
Co  0.545  0.125  0.750

Results
Formation energy (eV/atom): -0.14
Symmetry: No. 62
Relative energy among the computed polymorphs (meV per atom): 0
D(E_F) (states/eV/cell): 17.96
E_tot (eV per atom): -6.3845

VASP calculation (PBE-GGA) on an optimized crystal structure of LiDyMgOs.

Cell lengths 4.732, 4.732, 4.732 Å; angles 60.00, 60.00, 60.00 degrees
Fractional coordinates of all 4 atoms:
Mg  0.750  0.750  0.750
Li  0.000  0.000  0.000
Os  0.500  0.500  0.500
Dy  0.250  0.250  0.250

Results
Formation energy (eV/atom): -0.03
Symmetry: No. 216
D(E_F) (states/eV/cell): 0.87
E_tot (eV per atom): -4.8602